Computed, not measured: a geometry-optimized BaLa2HgGe structure at the GGA-PBE level of DFT.

abc: 6.027 6.027 5.393
angles: 90.00 90.00 90.00
Fractional coordinates of all 5 atoms:
Ba (0.000, 0.000, 0.000)
La (0.000, 0.500, 0.500)
La (0.500, 0.000, 0.500)
Hg (0.500, 0.500, 0.500)
Ge (0.500, 0.500, 0.000)

Output
uncorrected energy	-15.8	eV per cell
SG	P4/mmm